# 1
Material: CuSb2TeI
Method: DFT, GGA-PBE
State: relaxed

It has space group P4/mmm (No. 123), with a = 5.283 Å, b = 5.283 Å, c = 5.065 Å, α = 90.00°, β = 90.00° and γ = 90.00°. The inequivalent atoms are Cu at (0.000, 0.000, 0.000), Sb at (0.000, 0.500, 0.000), Te at (0.500, 0.500, 0.500) and I at (0.000, 0.000, 0.500).

The offset from the most stable computed form is 0.00 eV/f.u. For the uncorrected formation energy, the calculation gives 0.415 eV per atom. Its magnetization is 0.00 μB per formula unit.


# 2
Material: BiHPdPt
Method: DFT, GGA-PBE
State: relaxed

It has space group Cm (No. 8), with a = 9.787 Å, b = 3.879 Å, c = 3.476 Å, α = 90.00°, β = 110.65° and γ = 90.00°. The inequivalent atoms are Bi at (0.000, 0.000, 0.000), H at (0.269, 0.000, 0.769), Pd at (0.160, 0.500, 0.657) and Pt at (0.324, 0.000, 0.323).

For the uncorrected energy, the calculation gives -4.689 eV per atom. Its magnetization is 0.00 μB per formula unit.


# 3
Material: Nd2As4Ir3Ru
Method: DFT, GGA-PBE
State: relaxed

It has space group P-4m2 (No. 115), with a = 4.312 Å, b = 4.312 Å, c = 9.999 Å, α = 90.00°, β = 90.00° and γ = 90.00°. The inequivalent atoms are Nd at (0.000, 0.500, 0.245), As at (0.000, 0.000, 0.000), As at (0.000, 0.500, 0.632), As at (0.500, 0.500, 0.000), Ir at (0.000, 0.500, 0.878), Ir at (0.500, 0.500, 0.500) and Ru at (0.000, 0.000, 0.500).

The energy relative to the elements is -0.7670 eV per atom. Its magnetization is 0.00 μB per formula unit.


What did the second record say?
Material: BiHPdPt
Method: DFT, GGA-PBE
State: relaxed

It has space group Cm (No. 8), with a = 9.787 Å, b = 3.879 Å, c = 3.476 Å, α = 90.00°, β = 110.65° and γ = 90.00°. The inequivalent atoms are Bi at (0.000, 0.000, 0.000), H at (0.269, 0.000, 0.769), Pd at (0.160, 0.500, 0.657) and Pt at (0.324, 0.000, 0.323).

For the uncorrected energy, the calculation gives -4.689 eV per atom. Its magnetization is 0.00 μB per formula unit.


Copy entry 2 word for word.
Material: BiHPdPt
Method: DFT, GGA-PBE
State: relaxed

It has space group Cm (No. 8), with a = 9.787 Å, b = 3.879 Å, c = 3.476 Å, α = 90.00°, β = 110.65° and γ = 90.00°. The inequivalent atoms are Bi at (0.000, 0.000, 0.000), H at (0.269, 0.000, 0.769), Pd at (0.160, 0.500, 0.657) and Pt at (0.324, 0.000, 0.323).

For the uncorrected energy, the calculation gives -4.689 eV per atom. Its magnetization is 0.00 μB per formula unit.


> Look up the magnetization of the third one.

0.00 μB per formula unit